Entry 1
Compound: CrTeSe
Source: Alexandria via LeMat-Bulk
Functional: meta-GGA SCAN
Structure: single point on PBEsol structure

```
CrTeSe
1.0
3.044 0.000 0.000
0.000 3.044 0.000
-1.522 -1.522 6.268
Cr Te Se
1 1 1
Direct
0.009 0.009 0.018
0.372 0.372 0.745
0.618 0.618 0.237
```

Summary:
N(E_F) = 1.7 states/eV per cell
Magnetic moment = 0.3 μB/f.u.
SG = I4mm, No. 107


Entry 2
Compound: CrTeSe
Source: Alexandria via LeMat-Bulk
Functional: meta-GGA SCAN
Structure: single point on PBEsol structure

```
CrTeSe
1.0
3.567 0.000 0.000
-1.783 3.089 0.000
0.000 0.000 5.927
Cr Te Se
1 1 1
Direct
0.000 0.000 0.976
0.667 0.333 0.267
0.333 0.667 0.757
```

Summary:
N(E_F) = 1.2 states/eV per cell
Magnetic moment = 2.4 μB/f.u.
SG = P3m1, No. 156


Which of them is the most stable, and which is the least stable? entry 2 and entry 1, in that order.


Entry 1
Compound: CrWSe2
Source: Alexandria via LeMat-Bulk
Functional: meta-GGA SCAN
Structure: single point on PBEsol structure

```
CrWSe2
1.0
4.404 0.000 0.000
2.202 3.814 0.000
2.202 1.271 3.596
Cr Se W
1 2 1
Direct
0.000 0.000 0.000
0.250 0.250 0.250
0.750 0.750 0.750
0.500 0.500 0.500
```

Summary:
N(E_F) = 2.4 states/eV per cell
Magnetic moment = 4.0 μB/f.u.
SG = Fm-3m, No. 225


Entry 2
Compound: CrWSe2
Source: Alexandria via LeMat-Bulk
Functional: meta-GGA SCAN
Structure: single point on PBEsol structure

```
CrWSe2
1.0
-2.019 2.483 -1.207
-2.021 -2.543 -1.851
-1.760 -0.609 6.535
Cr Se W
1 2 1
Direct
0.000 0.500 0.000
0.357 0.357 0.714
0.643 0.643 0.286
0.500 0.000 0.000
```

Summary:
N(E_F) = 1.5 states/eV per cell
Magnetic moment = 1.1 μB/f.u.
SG = Immm, No. 71


Entry 3
Compound: CrWSe2
Source: Alexandria via LeMat-Bulk
Functional: meta-GGA SCAN
Structure: single point on PBEsol structure

```
CrWSe2
1.0
2.970 0.000 0.000
1.485 2.572 0.000
1.485 0.857 8.288
Cr Se W
1 2 1
Direct
0.500 0.500 0.500
0.900 0.900 0.300
0.100 0.100 0.700
0.000 0.000 0.000
```

Summary:
N(E_F) = 2.4 states/eV per cell
Magnetic moment = 0.0 μB/f.u.
SG = R-3m, No. 166


Which of them is the most stable, and which is the least stable? entry 2 and entry 3, in that order.


Entry 1
Compound: ZnCr2Se
Source: Alexandria via LeMat-Bulk
Functional: meta-GGA SCAN
Structure: single point on PBEsol structure

```
ZnCr2Se
1.0
3.619 0.000 0.000
0.000 3.619 0.000
-1.810 -1.810 4.313
Cr Se Zn
2 1 1
Direct
0.000 0.000 0.000
0.750 0.250 0.500
0.500 0.500 0.000
0.250 0.750 0.500
```

Summary:
N(E_F) = 2.2 states/eV per cell
Magnetic moment = 7.0 μB/f.u.
SG = I-4m2, No. 119


Entry 2
Compound: ZnCr2Se
Source: Alexandria via LeMat-Bulk
Functional: meta-GGA SCAN
Structure: single point on PBEsol structure

```
ZnCr2Se
1.0
-1.071 3.582 2.154
-3.672 0.141 2.261
0.123 0.042 4.313
Cr Se Zn
2 1 1
Direct
0.000 0.000 0.000
0.250 0.250 0.250
0.500 0.500 0.500
0.750 0.750 0.750
```

Summary:
N(E_F) = 1.6 states/eV per cell
Magnetic moment = 0.2 μB/f.u.
SG = F-43m, No. 216


Which of them is the most stable, and which is the least stable? entry 1 and entry 2, in that order.


Entry 1
Compound: Cr2SiTe
Source: Alexandria via LeMat-Bulk
Functional: meta-GGA SCAN
Structure: single point on PBEsol structure

```
Cr2SiTe
1.0
3.062 0.000 0.000
0.000 3.062 0.000
0.000 0.000 6.008
Cr Si Te
2 1 1
Direct
0.000 0.000 0.793
0.000 0.000 0.207
0.500 0.500 0.000
0.500 0.500 0.500
```

Summary:
N(E_F) = 2.3 states/eV per cell
Magnetic moment = 0.0 μB/f.u.
SG = P4/mmm, No. 123


Entry 2
Compound: Cr2SiTe
Source: Alexandria via LeMat-Bulk
Functional: meta-GGA SCAN
Structure: single point on PBEsol structure

```
Cr2SiTe
1.0
-2.120 -2.614 -1.367
1.490 -3.021 -1.362
-0.509 -4.450 4.471
Cr Si Te
2 1 1
Direct
0.232 0.232 0.304
0.768 0.768 0.696
0.500 0.500 0.500
0.000 0.000 0.000
```

Summary:
N(E_F) = 1.7 states/eV per cell
Magnetic moment = 5.9 μB/f.u.
SG = R-3m, No. 166


Which of them is the most stable, and which is the least stable? entry 2 and entry 1, in that order.


Entry 1
Compound: ZnCrSi
Source: Alexandria via LeMat-Bulk
Functional: meta-GGA SCAN
Structure: single point on PBEsol structure

```
ZnCrSi
1.0
2.675 0.000 0.000
-1.338 2.317 0.000
0.000 0.000 6.234
Cr Si Zn
1 1 1
Direct
0.000 0.000 0.988
0.333 0.667 0.685
0.667 0.333 0.327
```

Summary:
N(E_F) = 1.8 states/eV per cell
Magnetic moment = 2.1 μB/f.u.
SG = P3m1, No. 156


Entry 2
Compound: ZnCrSi
Source: Alexandria via LeMat-Bulk
Functional: meta-GGA SCAN
Structure: single point on PBEsol structure

```
ZnCrSi
1.0
4.027 0.000 0.000
2.014 3.488 0.000
2.014 1.163 3.288
Cr Si Zn
1 1 1
Direct
0.250 0.250 0.250
0.000 0.000 0.000
0.500 0.500 0.500
```

Summary:
N(E_F) = 1.6 states/eV per cell
Magnetic moment = 2.8 μB/f.u.
SG = F-43m, No. 216


Which of them is the most stable, and which is the least stable? entry 1 and entry 2, in that order.


Entry 1
Compound: SrCrW2
Source: Alexandria via LeMat-Bulk
Functional: meta-GGA SCAN
Structure: single point on PBEsol structure

```
SrCrW2
1.0
4.550 0.000 0.000
2.275 3.941 0.000
2.275 1.314 3.715
Cr Sr W
1 1 2
Direct
0.000 0.000 0.000
0.500 0.500 0.500
0.250 0.250 0.250
0.750 0.750 0.750
```

Summary:
N(E_F) = 2.9 states/eV per cell
Magnetic moment = 0.6 μB/f.u.
SG = Fm-3m, No. 225


Entry 2
Compound: SrCrW2
Source: Alexandria via LeMat-Bulk
Functional: meta-GGA SCAN
Structure: single point on PBEsol structure

```
SrCrW2
1.0
-1.910 -0.617 1.929
1.342 -2.320 -0.750
6.458 1.512 6.879
Cr Sr W
1 1 2
Direct
0.000 0.000 0.540
0.500 0.500 0.259
0.000 0.000 0.964
0.500 0.500 0.738
```

Summary:
N(E_F) = 2.8 states/eV per cell
Magnetic moment = 0.0 μB/f.u.
SG = Cmm2, No. 35


Entry 3
Compound: SrCrW2
Source: Alexandria via LeMat-Bulk
Functional: meta-GGA SCAN
Structure: single point on PBEsol structure

```
SrCrW2
1.0
4.665 0.000 0.000
2.333 4.040 0.000
2.333 1.347 3.809
Cr Sr W
1 1 2
Direct
0.500 0.500 0.500
0.250 0.250 0.250
0.000 0.000 0.000
0.750 0.750 0.750
```

Summary:
N(E_F) = 3.6 states/eV per cell
Magnetic moment = 3.3 μB/f.u.
SG = F-43m, No. 216


Which of them is the most stable, and which is the least stable? entry 2 and entry 1, in that order.


Entry 1
Compound: SrZrCr2
Source: Alexandria via LeMat-Bulk
Functional: meta-GGA SCAN
Structure: single point on PBEsol structure

```
SrZrCr2
1.0
-1.592 -0.224 -4.607
2.236 -2.910 -3.215
-2.237 -4.024 -1.616
Cr Sr Zr
2 1 1
Direct
0.750 0.750 0.750
0.250 0.250 0.250
0.500 0.500 0.500
0.000 0.000 0.000
```

Summary:
N(E_F) = 3.6 states/eV per cell
Magnetic moment = 6.3 μB/f.u.
SG = Fm-3m, No. 225


Entry 2
Compound: SrZrCr2
Source: Alexandria via LeMat-Bulk
Functional: meta-GGA SCAN
Structure: single point on PBEsol structure

```
SrZrCr2
1.0
-1.086 0.680 -2.980
1.870 -0.594 -2.583
-3.413 -8.707 -2.507
Cr Sr Zr
2 1 1
Direct
0.260 0.260 0.220
0.740 0.740 0.780
0.500 0.500 0.500
0.000 0.000 0.000
```

Summary:
N(E_F) = 3.5 states/eV per cell
Magnetic moment = 6.7 μB/f.u.
SG = R-3m, No. 166


Which of them is the most stable, and which is the least stable? entry 1 and entry 2, in that order.


Entry 1
Compound: Sr2ZrCr
Source: Alexandria via LeMat-Bulk
Functional: meta-GGA SCAN
Structure: single point on PBEsol structure

```
Sr2ZrCr
1.0
-0.276 2.437 4.029
-0.062 -4.037 2.438
5.157 0.098 0.294
Cr Sr Zr
1 2 1
Direct
0.000 0.000 0.500
0.000 0.500 0.000
0.500 0.000 0.000
0.500 0.500 0.500
```

Summary:
N(E_F) = 5.7 states/eV per cell
Magnetic moment = 2.1 μB/f.u.
SG = P4/mmm, No. 123


Entry 2
Compound: Sr2ZrCr
Source: Alexandria via LeMat-Bulk
Functional: meta-GGA SCAN
Structure: single point on PBEsol structure

```
Sr2ZrCr
1.0
-1.144 0.369 -3.500
1.815 -5.303 -1.153
-5.131 -2.073 1.458
Cr Sr Zr
1 2 1
Direct
0.500 0.000 0.000
0.000 0.000 0.500
0.000 0.500 0.000
0.500 0.500 0.500
```

Summary:
N(E_F) = 4.1 states/eV per cell
Magnetic moment = 3.3 μB/f.u.
SG = P4/mmm, No. 123


Which of them is the most stable, and which is the least stable? entry 2 and entry 1, in that order.


Entry 1
Compound: TaCr2
Source: Alexandria via LeMat-Bulk
Functional: meta-GGA SCAN
Structure: single point on PBEsol structure

```
TaCr2
1.0
4.433 0.000 0.000
-2.217 3.839 0.000
0.000 0.000 4.804
Cr Ta
4 2
Direct
0.000 0.000 0.000
0.000 0.000 0.500
0.667 0.333 0.750
0.333 0.667 0.250
0.667 0.333 0.250
0.333 0.667 0.750
```

Summary:
N(E_F) = 5.6 states/eV per cell
Magnetic moment = 0.9 μB/f.u.
SG = P6_3/mmc, No. 194


Entry 2
Compound: TaCr2
Source: Alexandria via LeMat-Bulk
Functional: meta-GGA SCAN
Structure: single point on PBEsol structure

```
TaCr2
1.0
4.845 0.000 0.000
2.422 4.196 0.000
2.422 1.399 3.956
Cr Ta
4 2
Direct
0.125 0.625 0.625
0.625 0.625 0.625
0.625 0.625 0.125
0.625 0.125 0.625
0.000 0.000 0.000
0.250 0.250 0.250
```

Summary:
N(E_F) = 4.7 states/eV per cell
Magnetic moment = 0.0 μB/f.u.
SG = Fd-3m, No. 227


Entry 3
Compound: TaCr2
Source: Alexandria via LeMat-Bulk
Functional: meta-GGA SCAN
Structure: single point on PBEsol structure

```
TaCr2
1.0
4.842 0.000 0.000
-2.421 4.193 0.000
0.000 0.000 15.852
Cr Ta
16 8
Direct
0.333 0.667 0.876
0.667 0.333 0.124
0.667 0.333 0.376
0.333 0.667 0.624
0.000 0.500 0.000
0.500 0.000 0.000
0.500 0.500 0.000
0.000 0.500 0.500
0.500 0.000 0.500
0.500 0.500 0.500
0.672 0.836 0.750
0.164 0.328 0.750
0.164 0.836 0.750
0.328 0.164 0.250
0.836 0.672 0.250
0.836 0.164 0.250
0.000 0.000 0.906
0.000 0.000 0.094
0.000 0.000 0.406
0.000 0.000 0.594
0.333 0.667 0.156
0.667 0.333 0.844
0.667 0.333 0.656
0.333 0.667 0.344
```

Summary:
N(E_F) = 17.3 states/eV per cell
Magnetic moment = 0.0 μB/f.u.
SG = P6_3/mmc, No. 194


Which of them is the most stable, and which is the least stable? entry 2 and entry 1, in that order.


Entry 1
Compound: Ta5Cr
Source: Alexandria via LeMat-Bulk
Functional: meta-GGA SCAN
Structure: single point on PBEsol structure

```
Ta5Cr
1.0
3.191 0.000 0.000
-1.596 5.092 -0.002
0.000 -2.014 6.137
Cr Ta
1 5
Direct
0.000 0.000 0.000
0.343 0.686 0.159
0.663 0.326 0.320
0.000 0.000 0.500
0.337 0.674 0.680
0.657 0.314 0.841
```

Summary:
N(E_F) = 7.5 states/eV per cell
Magnetic moment = 0.0 μB/f.u.
SG = C2/m, No. 12


Entry 2
Compound: Ta5Cr
Source: Alexandria via LeMat-Bulk
Functional: meta-GGA SCAN
Structure: single point on PBEsol structure

```
Ta5Cr
1.0
-2.025 3.368 -2.129
-3.378 0.687 4.300
4.779 2.737 -0.215
Cr Ta
1 5
Direct
0.000 0.000 0.000
0.500 0.000 0.500
0.000 0.667 0.333
0.500 0.500 0.500
0.500 0.500 0.000
0.000 0.333 0.667
```

Summary:
N(E_F) = 5.6 states/eV per cell
Magnetic moment = 3.7 μB/f.u.
SG = P6/mmm, No. 191


Which of them is the most stable, and which is the least stable? entry 1 and entry 2, in that order.


Entry 1
Compound: Ta4Cr
Source: Alexandria via LeMat-Bulk
Functional: meta-GGA SCAN
Structure: single point on PBEsol structure

```
Ta4Cr
1.0
-3.889 1.309 -2.831
-1.640 -1.742 4.374
2.903 3.978 0.779
Cr Ta
1 4
Direct
0.000 0.000 0.000
0.000 0.000 0.500
0.000 0.500 0.000
0.500 0.000 0.000
0.500 0.500 0.500
```

Summary:
N(E_F) = 5.2 states/eV per cell
Magnetic moment = 0.6 μB/f.u.
SG = Im-3m, No. 229


Entry 2
Compound: Ta4Cr
Source: Alexandria via LeMat-Bulk
Functional: meta-GGA SCAN
Structure: single point on PBEsol structure

```
Ta4Cr
1.0
-1.732 -2.008 -1.717
-1.143 -4.170 3.123
-5.118 1.330 0.701
Cr Ta
1 4
Direct
0.000 0.000 0.000
0.591 0.196 0.623
0.787 0.623 0.804
0.409 0.804 0.377
0.213 0.377 0.196
```

Summary:
N(E_F) = 5.9 states/eV per cell
Magnetic moment = 0.0 μB/f.u.
SG = I4/m, No. 87


Which of them is the most stable, and which is the least stable? entry 2 and entry 1, in that order.


Entry 1
Compound: TaCrTe2
Source: Alexandria via LeMat-Bulk
Functional: meta-GGA SCAN
Structure: single point on PBEsol structure

```
TaCrTe2
1.0
-3.156 1.466 -0.635
-0.801 -2.779 -2.433
-0.486 -2.658 6.132
Cr Ta Te
1 1 2
Direct
0.481 0.481 0.961
0.194 0.694 0.387
0.032 0.032 0.064
0.794 0.294 0.587
```

Summary:
N(E_F) = 1.5 states/eV per cell
Magnetic moment = 3.1 μB/f.u.
SG = Imm2, No. 44


Entry 2
Compound: TaCrTe2
Source: Alexandria via LeMat-Bulk
Functional: meta-GGA SCAN
Structure: single point on PBEsol structure

```
TaCrTe2
1.0
-2.409 -1.028 -2.141
3.232 -0.464 -3.415
0.744 -4.478 1.313
Cr Ta Te
1 1 2
Direct
0.500 0.500 0.500
0.500 0.000 0.000
0.000 0.000 0.500
0.000 0.500 0.000
```

Summary:
N(E_F) = 2.3 states/eV per cell
Magnetic moment = 3.1 μB/f.u.
SG = P4/mmm, No. 123


Which of them is the most stable, and which is the least stable? entry 1 and entry 2, in that order.


Entry 1
Compound: TaTlCr
Source: Alexandria via LeMat-Bulk
Functional: meta-GGA SCAN
Structure: single point on PBEsol structure

```
TaTlCr
1.0
4.456 0.000 0.000
2.228 3.859 0.000
2.228 1.286 3.638
Cr Ta Tl
1 1 1
Direct
0.000 0.000 0.000
0.500 0.500 0.500
0.250 0.250 0.250
```

Summary:
N(E_F) = 3.0 states/eV per cell
Magnetic moment = 3.3 μB/f.u.
SG = F-43m, No. 216


Entry 2
Compound: TaTlCr
Source: Alexandria via LeMat-Bulk
Functional: meta-GGA SCAN
Structure: single point on PBEsol structure

```
TaTlCr
1.0
3.011 0.000 0.000
-1.505 2.607 0.000
0.000 0.000 6.904
Cr Ta Tl
1 1 1
Direct
0.000 0.000 0.987
0.333 0.667 0.690
0.667 0.333 0.324
```

Summary:
N(E_F) = 2.3 states/eV per cell
Magnetic moment = 3.2 μB/f.u.
SG = P3m1, No. 156


Which of them is the most stable, and which is the least stable? entry 2 and entry 1, in that order.